Below is an optimized crystal structure of NdTmIr, with properties calculated at the PBE-GGA level.

The calculation puts the relative energy among the computed polymorphs at 107 meV per atom. The calculation puts the density of states at the Fermi level at 3.704 states/eV/f.u. The symmetry is I4mm, No. 107. As for the crystal system: tetragonal.

a b c (Å): 3.5008 3.5008 6.8927
angles (deg): 104.71 104.71 90.00
Element x y z (fractional)
Tm 0.2908 0.2908 0.5816
Ir 0.6738 0.6738 0.3476
Nd 0.0354 0.0354 0.0708